The following is a DFT calculation (PBEsol) of a relaxed structure of MnRe3.

The structure in CIF format:
```
data_MnRe3
_chemical_formula_sum 'Mn1 Re3'
_space_group_name_H-M_alt 'P m -3 m'
_space_group_IT_number 221
_space_group_name_Hall '-P 4 2 3'
_cell_length_a 3.804
_cell_length_b 3.804
_cell_length_c 3.804
_cell_angle_alpha 90.00
_cell_angle_beta 90.00
_cell_angle_gamma 90.00
loop_
_atom_site_label
_atom_site_type_symbol
_atom_site_fract_x
_atom_site_fract_y
_atom_site_fract_z
Mn1 Mn 0.000 0.000 0.000
Re1 Re 0.000 0.500 0.500
```

Summary:
For the formation energy from the elements, the calculation gives 0.09 eV per atom.

The following is a DFT calculation (PBEsol) of a relaxed structure of CaH6C2N4O4.

The structure in CIF format:
```
data_CaH6C2N4O4
_chemical_formula_sum 'Ca4 H24 C8 N16 O16'
_space_group_name_H-M_alt 'P 1 21/c 1'
_space_group_IT_number 14
_space_group_name_Hall '-P 2ybc'
_cell_length_a 8.062
_cell_length_b 9.694
_cell_length_c 9.104
_cell_angle_alpha 90.00
_cell_angle_beta 114.56
_cell_angle_gamma 90.00
loop_
_atom_site_label
_atom_site_type_symbol
_atom_site_fract_x
_atom_site_fract_y
_atom_site_fract_z
Ca1 Ca 0.207 0.026 0.190
H1 H 0.129 0.174 0.612
H2 H 0.147 0.558 0.998
H3 H 0.184 0.613 0.389
H4 H 0.345 0.028 0.562
H5 H 0.350 0.005 0.932
H6 H 0.444 0.745 0.460
C1 C 0.071 0.248 0.385
C2 C 0.461 0.728 0.694
N1 N 0.122 0.146 0.500
N2 N 0.210 0.028 0.478
N3 N 0.300 0.573 0.479
N4 N 0.430 0.678 0.544
O1 O 0.032 0.134 0.927
O2 O 0.060 0.220 0.244
O3 O 0.412 0.656 0.787
O4 O 0.457 0.157 0.267
```

Summary:
The calculation puts the total energy at -6.5738 eV/atom.

The following is a DFT calculation (PBEsol) of a relaxed structure of CsCu3As.

The structure in CIF format:
```
data_CsCu3As
_chemical_formula_sum 'Cs1 Cu3 As1'
_space_group_name_H-M_alt 'P m -3 m'
_space_group_IT_number 221
_space_group_name_Hall '-P 4 2 3'
_cell_length_a 5.021
_cell_length_b 5.021
_cell_length_c 5.021
_cell_angle_alpha 90.00
_cell_angle_beta 90.00
_cell_angle_gamma 90.00
loop_
_atom_site_label
_atom_site_type_symbol
_atom_site_fract_x
_atom_site_fract_y
_atom_site_fract_z
Cs1 Cs 0.000 0.000 0.000
Cu1 Cu 0.000 0.000 0.500
As1 As 0.500 0.500 0.500
```

Summary:
For the formation energy from the elements, the calculation gives 2.01 eV per atom.

The following is a DFT calculation (PBEsol) of a relaxed structure of CrCdMo2.

The structure in CIF format:
```
data_CrCdMo2
_chemical_formula_sum 'Cr2 Cd2 Mo4'
_space_group_name_H-M_alt 'C 1 m 1'
_space_group_IT_number 8
_space_group_name_Hall 'C -2y'
_cell_length_a 9.235
_cell_length_b 2.603
_cell_length_c 5.097
_cell_angle_alpha 90.00
_cell_angle_beta 95.32
_cell_angle_gamma 90.00
loop_
_atom_site_label
_atom_site_type_symbol
_atom_site_fract_x
_atom_site_fract_y
_atom_site_fract_z
Cr1 Cr 0.000 0.000 0.000
Cd1 Cd 0.247 0.500 0.249
Mo1 Mo 0.252 0.000 0.759
Mo2 Mo 0.497 0.000 0.513
```

Summary:
For the formation energy from the elements, the calculation gives 0.57 eV per atom.

The following is a DFT calculation (PBEsol) of a relaxed structure of NdCo2Si2.

The structure in CIF format:
```
data_NdCo2Si2
_chemical_formula_sum 'Nd2 Co4 Si4'
_space_group_name_H-M_alt 'I 4/m m m'
_space_group_IT_number 139
_space_group_name_Hall '-I 4 2'
_cell_length_a 3.893
_cell_length_b 3.893
_cell_length_c 9.879
_cell_angle_alpha 90.00
_cell_angle_beta 90.00
_cell_angle_gamma 90.00
loop_
_atom_site_label
_atom_site_type_symbol
_atom_site_fract_x
_atom_site_fract_y
_atom_site_fract_z
Nd1 Nd 0.000 0.000 0.000
Co1 Co 0.000 0.500 0.250
Si1 Si 0.000 0.000 0.367
```

Summary:
For the uncorrected formation energy, the calculation gives -4.1 eV per formula unit.

The following is a DFT calculation (PBEsol) of a relaxed structure of CaInW3.

The structure in CIF format:
```
data_CaInW3
_chemical_formula_sum 'Ca1 In1 W3'
_space_group_name_H-M_alt 'P m -3 m'
_space_group_IT_number 221
_space_group_name_Hall '-P 4 2 3'
_cell_length_a 4.619
_cell_length_b 4.619
_cell_length_c 4.619
_cell_angle_alpha 90.00
_cell_angle_beta 90.00
_cell_angle_gamma 90.00
loop_
_atom_site_label
_atom_site_type_symbol
_atom_site_fract_x
_atom_site_fract_y
_atom_site_fract_z
Ca1 Ca 0.000 0.000 0.000
In1 In 0.500 0.500 0.500
W1 W 0.000 0.000 0.500
```

Summary:
For the formation energy from the elements, the calculation gives 3.01 eV per atom.